! CaPm2MoO8 GGA+U optimized geometry; values from VASP
! Fermi-level density of states = 0.000 states/eV/atom
! M_tot = 0.000 μB/atom
! E = -7.24 eV/atom
&SYSTEM
  ibrav = 0, nat = 12, ntyp = 4
/
ATOMIC_SPECIES
Ca 40.08 Ca.upf
Pm 145.00 Pm.upf
Mo 95.94 Mo.upf
O 16.00 O.upf
CELL_PARAMETERS angstrom
4.302 0.000 0.000
-0.031 5.389 0.000
-1.831 -0.198 6.653
ATOMIC_POSITIONS crystal
Ca 0.000 0.000 0.000
Pm 0.374 0.487 0.708
Pm 0.626 0.513 0.292
Mo 0.000 0.000 0.500
O 0.164 0.546 0.001
O 0.190 0.703 0.410
O 0.210 0.225 0.365
O 0.329 0.044 0.762
O 0.671 0.956 0.238
O 0.790 0.775 0.635
O 0.810 0.297 0.590
O 0.836 0.454 0.999